VASP calculation (PBE) on an optimized crystal structure of AcSnGe2.

The structure in CIF format:
```
data_AcSnGe2
_symmetry_space_group_name_H-M 'F m -3 m'
_symmetry_Int_Tables_number 225
_symmetry_space_group_name_Hall '-F 4 2 3'
_cell_length_a 7.5161
_cell_length_b 7.5161
_cell_length_c 7.5161
_cell_angle_alpha 90.00
_cell_angle_beta 90.00
_cell_angle_gamma 90.00
loop_
_atom_site_label
_atom_site_type_symbol
_atom_site_fract_x
_atom_site_fract_y
_atom_site_fract_z
Ac1 Ac 0.0000 0.0000 0.0000
Sn1 Sn 0.0000 0.0000 0.5000
Ge1 Ge 0.2500 0.2500 0.2500
```

Results
The formation energy from the elements comes out at -0.178 eV per atom. Its density of states at the Fermi level is 4.09 states/eV/f.u.

***

VASP calculation (PBE) on an optimized crystal structure of BiPbS2N.

The structure in CIF format:
```
data_BiPbS2N
_symmetry_space_group_name_H-M 'P 4/m m m'
_symmetry_Int_Tables_number 123
_symmetry_space_group_name_Hall '-P 4 2'
_cell_length_a 5.2977
_cell_length_b 5.2977
_cell_length_c 4.2894
_cell_angle_alpha 90.00
_cell_angle_beta 90.00
_cell_angle_gamma 90.00
loop_
_atom_site_label
_atom_site_type_symbol
_atom_site_fract_x
_atom_site_fract_y
_atom_site_fract_z
Bi1 Bi 0.0000 0.0000 0.0000
Pb1 Pb 0.5000 0.5000 0.5000
S1 S 0.0000 0.5000 0.5000
N1 N 0.5000 0.5000 0.0000
```

Results
The formation energy (no corrections) is 0.93 eV per atom. Its density of states at the Fermi level is 6.02 states/eV/f.u.

***

no.,ΔE to the lowest computed polymorph (eV/atom)
1,0.2205
2,0.2988